## Ta2Be (SCAN)

Data for Ta2Be at its PBEsol-relaxed geometry.

Unit cell a=3.420 b=6.693 c=6.693 alpha=120.00 beta=90.00 gamma=90.00
Atoms (fractional coordinates):
Be: 0.000 0.667 0.333
Be: 0.000 0.333 0.667
Be: 0.500 0.000 0.000
Ta: 0.000 0.744 0.744
Ta: 0.000 0.000 0.256
Ta: 0.000 0.256 0.000
Ta: 0.500 0.404 0.404
Ta: 0.500 0.000 0.596
Ta: 0.500 0.596 0.000

- size of the total moment (μB per cell) = 0.00
- formation energy (eV/f.u.) = -0.2
- DFT total energy (eV/atom) = -45.91